[1]
A plane-wave DFT calculation with GGA-PBE was carried out for a geometry-optimized Ti4Pd2N structure.

Volume, Å³/cell: 209.4
Formation energy without anion corrections, eV/atom: -0.762
Offset from the most stable computed form, meV per atom: 0.0

Cell: 7.0106 9.8759 3.0242 Å, 90.00 90.00 90.00°
With the nearest neighbours (Å) after each atom.
Space group Pbam (No. 55)
Symmetry-distinct sites (fractional):
Ti: 0.1420 0.1855 0.0000 [4 per cell]  1 N 2.08
Ti: 0.1758 0.9365 0.5000 [4 per cell]  2 N 2.05
Pd: 0.0469 0.6351 0.5000 [4 per cell]  6 Ti 2.68-2.76, 1 Pd 2.75
N: 0.0000 0.0000 0.0000 [2 per cell]  6 Ti 2.05-2.08

[2]
A plane-wave DFT calculation with GGA-PBE was carried out for a geometry-optimized SrRuN2 structure.

Volume, Å³/cell: 195.1
Formation energy without anion corrections, eV/atom: 0.779
Offset from the most stable computed form, meV per atom: 997.2

Cell: 5.8001 5.8001 5.8001 Å, 90.00 90.00 90.00°
With the nearest neighbours (Å) after each atom.
Space group Fm-3m (No. 225)
Symmetry-distinct sites (fractional):
Sr: 0.0000 0.0000 0.0000 [4 per cell]  8 N 2.51
Ru: 0.0000 0.0000 0.5000 [4 per cell]  8 N 2.51
N: 0.2500 0.2500 0.2500 [8 per cell]  4 Ru 2.51, 4 Sr 2.51

[3]
A plane-wave DFT calculation with GGA-PBE was carried out for a geometry-optimized CdSnIrO6 structure.

Volume, Å³/cell: 237.9
Formation energy without anion corrections, eV/atom: -0.992

Cell: 5.3798 5.3798 9.4924 Å, 90.00 90.00 120.00°
With the nearest neighbours (Å) after each atom.
Space group P-31c (No. 163)
Symmetry-distinct sites (fractional):
Cd: 0.0000 0.0000 0.0000 [2 per cell]  6 O 2.35
Sn: 0.3333 0.6667 0.2500 [2 per cell]  6 O 2.10
Ir: 0.3333 0.6667 0.7500 [2 per cell]  6 O 1.96
O: 0.0202 0.3749 0.6363 [12 per cell]  1 Ir 1.96, 1 Sn 2.10